Record 1
VASP calculation (GGA-PBEsol) on a relaxed structure of BaSnF4.

Cell: 4.255 4.255 7.258 Å, 72.96 72.96 60.00°
Fractional positions:
F 0.131 0.131 0.608
F 0.380 0.380 0.861
F 0.620 0.620 0.139
Sn 0.500 0.500 0.500
Ba 0.000 0.000 0.000
F 0.869 0.869 0.392

## Properties
**Total DFT energy (no corrections)**: -0.3954 Ry per atom
**Volume**: 17.84 Å³ per atom
**Fermi-level density of states**: 0.0 states/eV/cell
**Raw formation energy**: -3027 meV/atom



Record 2
VASP calculation (GGA-PBEsol) on a relaxed structure of BaSn2WF.

Cell: 4.507 6.148 6.148 Å, 90.00 90.00 90.00°
Last column: magnetic moment on the atom in μB.
Fractional positions:
Sn 0.000 0.500 0.000  -0.10
Ba 0.000 0.000 0.000  -0.03
W 0.500 0.500 0.500  3.07
F 0.500 0.000 0.000  0.00
Sn 0.000 0.000 0.500  -0.10

## Properties
**Total DFT energy (no corrections)**: -0.3168 Ry per atom
**Volume**: 34.07 Å³ per atom
**Fermi-level density of states**: 4.7 states/eV/cell
**Raw formation energy**: 970 meV/atom



Record 3
VASP calculation (GGA-PBEsol) on a relaxed structure of BaYSn2F.

Cell: 4.898 5.240 5.240 Å, 90.00 90.00 90.00°
Fractional positions:
Sn 0.000 0.500 0.000
Sn 0.000 0.000 0.500
F 0.000 0.000 0.000
Ba 0.500 0.000 0.000
Y 0.500 0.500 0.500

## Properties
**Total DFT energy (no corrections)**: -0.3571 Ry per atom
**Volume**: 26.90 Å³ per atom
**Fermi-level density of states**: 2.6 states/eV/cell
**Raw formation energy**: -975 meV/atom



Record 4
VASP calculation (GGA-PBEsol) on a relaxed structure of BaSrF3.

Cell: 5.042 5.042 5.042 Å, 90.00 90.00 90.00°
Fractional positions:
Sr 0.000 0.000 0.000
F 0.500 0.000 0.500
F 0.000 0.500 0.500
F 0.500 0.500 0.000
Ba 0.500 0.500 0.500

## Properties
**Total DFT energy (no corrections)**: -0.3575 Ry per atom
**Volume**: 25.64 Å³ per atom
**Fermi-level density of states**: 1.2 states/eV/cell
**Raw formation energy**: -2910 meV/atom



Record 5
VASP calculation (GGA-PBEsol) on a relaxed structure of BaSrF3.

Cell: 4.759 4.759 4.759 Å, 90.00 90.00 90.00°
Fractional positions:
F 0.500 0.500 0.000
F 0.500 0.000 0.500
Sr 0.500 0.500 0.500
Ba 0.000 0.000 0.000
F 0.000 0.500 0.500

## Properties
**Total DFT energy (no corrections)**: -0.3738 Ry per atom
**Volume**: 21.55 Å³ per atom
**Fermi-level density of states**: 2.0 states/eV/cell
**Raw formation energy**: -3131 meV/atom



Record 6
VASP calculation (GGA-PBEsol) on a relaxed structure of BaSrF2.

Cell: 4.410 4.410 7.073 Å, 71.84 71.84 60.00°
Fractional positions:
F 0.122 0.122 0.635
Ba 0.500 0.500 0.500
F 0.878 0.878 0.365
Sr 0.000 0.000 0.000

## Properties
**Total DFT energy (no corrections)**: -0.3555 Ry per atom
**Volume**: 27.79 Å³ per atom
**Fermi-level density of states**: 1.1 states/eV/cell
**Raw formation energy**: -2875 meV/atom



Record 7
VASP calculation (GGA-PBEsol) on a relaxed structure of BaTbF6.

Cell: 4.677 7.557 7.557 Å, 119.79 90.00 90.00°
Last column: magnetic moment on the atom in μB.
Fractional positions:
F 0.247 0.045 0.336  0.22
Tb 0.000 0.750 0.750  -0.02
F 0.772 0.950 0.050  0.05
F 0.247 0.836 0.545  0.22
F 0.753 0.164 0.455  0.22
F 0.247 0.664 0.955  0.22
F 0.228 0.450 0.550  0.05
F 0.772 0.550 0.450  0.05
Tb 0.000 0.250 0.250  -0.02
F 0.753 0.336 0.045  0.22
F 0.753 0.545 0.836  0.22
F 0.247 0.455 0.164  0.22
F 0.228 0.050 0.950  0.05
Ba 0.657 0.750 0.250  0.00
Ba 0.343 0.250 0.750  0.00
F 0.753 0.955 0.664  0.22

## Properties
**Total DFT energy (no corrections)**: -0.4278 Ry per atom
**Volume**: 14.48 Å³ per atom
**Fermi-level density of states**: 10.4 states/eV/cell
**Raw formation energy**: -3481 meV/atom



Record 8
VASP calculation (GGA-PBEsol) on a relaxed structure of BaTbF6.

Cell: 7.407 8.541 8.492 Å, 101.92 112.23 95.32°
Last column: magnetic moment on the atom in μB.
Fractional positions:
F 0.482 0.762 0.634  0.39
F 0.518 0.238 0.366  0.39
F 0.418 0.989 0.620  0.38
F 0.903 0.696 0.213  0.05
F 0.498 0.296 0.904  0.04
Tb 0.236 0.090 0.772  -0.02
F 0.295 0.242 0.563  0.12
F 0.502 0.704 0.096  0.04
F 0.367 0.445 0.240  0.13
Ba 0.281 0.557 0.761  0.00
F 0.943 0.316 0.060  0.13
Ba 0.280 0.738 0.287  0.00
F 0.705 0.758 0.437  0.12
F 0.000 0.000 0.500  0.21
F 0.633 0.555 0.760  0.13
F 0.910 0.020 0.764  0.10
F 0.582 0.011 0.380  0.38
Tb 0.764 0.910 0.228  -0.02
F 0.090 0.980 0.236  0.10
F 0.500 0.000 0.000  0.45
F 0.749 0.889 0.957  0.23
Ba 0.719 0.443 0.239  0.00
F 0.097 0.304 0.787  0.05
Tb 0.177 0.245 0.273  -0.01
F 0.864 0.515 0.590  0.07
F 0.128 0.818 0.718  0.08
F 0.251 0.111 0.043  0.23
Ba 0.720 0.262 0.713  0.00
F 0.136 0.485 0.410  0.07
F 0.057 0.684 0.940  0.13
F 0.872 0.182 0.282  0.08
Tb 0.823 0.755 0.727  -0.01

## Properties
**Total DFT energy (no corrections)**: -0.4303 Ry per atom
**Volume**: 14.93 Å³ per atom
**Fermi-level density of states**: 20.6 states/eV/cell
**Raw formation energy**: -3513 meV/atom



Among the records above, which one has the highest Fermi-level density of states? number 8



Number 1 is which compound? BaSnF4